(1)
Material: BaZrS2F
Method: DFT, PBE
State: optimized geometry

Results
Magnetic moment   0.0253 μB per atom
Uncorrected formation energy   -2257 meV/atom
Calculated density   4.56 Mg/m³

Cell: 5.1304 5.1304 4.3146 Å, 90.00 90.00 90.00°
Space group P4/mmm (No. 123)
Inequivalent atoms, fractional coordinates:
Ba  0.0000  0.0000  0.0000 [1 per cell]
Zr  0.5000  0.5000  0.5000 [1 per cell]
S  0.0000  0.5000  0.5000 [2 per cell]
F  0.5000  0.5000  0.0000 [1 per cell]

(2)
Material: BaSbF6
Method: DFT, PBE
State: optimized geometry

Results
Magnetic moment   0.0267 μB per atom
Uncorrected formation energy   -2759 meV/atom
Calculated density   4.46 Mg/m³

Cell: 5.4519 5.4519 16.1852 Å, 90.00 90.00 120.00°
Space group R-3m (No. 166, hexagonal axes)
Inequivalent atoms, fractional coordinates:
Ba  0.0000  0.0000  0.0000 [3 per cell]
Sb  0.0000  0.0000  0.5000 [3 per cell]
F  0.0043  0.5022  0.9124 [18 per cell]

(3)
Material: BaSbF3
Method: DFT, PBE
State: optimized geometry

Results
Magnetic moment   0.4000 μB per atom
Uncorrected formation energy   -2068 meV/atom
Calculated density   3.98 Mg/m³

Cell: 5.0880 5.0880 5.0880 Å, 90.00 90.00 90.00°
Space group Pm-3m (No. 221)
Inequivalent atoms, fractional coordinates:
Ba  0.0000  0.0000  0.0000 [1 per cell]
Sb  0.5000  0.5000  0.5000 [1 per cell]
F  0.0000  0.0000  0.5000 [3 per cell]

(4)
Material: BaSbF2
Method: DFT, PBE
State: optimized geometry

Results
Magnetic moment   0.0000 μB per atom
Uncorrected formation energy   -2015 meV/atom
Calculated density   4.76 Mg/m³

Cell: 7.2703 7.2703 7.8504 Å, 90.00 90.00 90.00°
Space group I-42d (No. 122)
Inequivalent atoms, fractional coordinates:
Ba  0.0000  0.0000  0.0000 [4 per cell]
Sb  0.0000  0.0000  0.5000 [4 per cell]
F  0.1979  0.7500  0.1250 [8 per cell]